NaSnTeO5: relaxed, PBE.

a b c (Å): 6.045 6.045 7.569
angles (deg): 103.53 103.53 106.44
Atoms (fractional coordinates):
Na: 0.314 0.686 0.250
Na: 0.686 0.314 0.750
Sn: 0.000 0.000 0.500
Sn: 0.000 0.000 0.000
Te: 0.679 0.321 0.250
Te: 0.321 0.679 0.750
O: 0.072 0.928 0.250
O: 0.928 0.072 0.750
O: 0.903 0.312 0.104
O: 0.097 0.688 0.896
O: 0.688 0.097 0.396
O: 0.312 0.903 0.604
O: 0.744 0.637 0.426
O: 0.256 0.363 0.574
O: 0.363 0.256 0.074
O: 0.637 0.744 0.926

## Properties
DFT total energy (eV per atom): -5.41
Total moment (μB per atom): 0.000
Theoretical density (g/cm3): 4.7
Density of states at the Fermi level (states/eV per cell): 6.17
Formation energy from raw total energies (eV/atom): -1.25



CoSiP: relaxed, PBE.

a b c (Å): 3.231 6.563 7.374
angles (deg): 90.00 90.00 90.00
Atoms (fractional coordinates):
P: 0.250 0.014 0.857
P: 0.750 0.486 0.357
P: 0.750 0.986 0.143
P: 0.250 0.514 0.643
Si: 0.250 0.911 0.378
Si: 0.750 0.589 0.878
Si: 0.750 0.089 0.622
Si: 0.250 0.411 0.122
Co: 0.250 0.267 0.441
Co: 0.750 0.233 0.941
Co: 0.750 0.733 0.559
Co: 0.250 0.767 0.059

## Properties
DFT total energy (eV per atom): -6.12
Total moment (μB per atom): 0.000
Theoretical density (g/cm3): 5.0
Density of states at the Fermi level (states/eV per cell): 7.71
Formation energy from raw total energies (eV/atom): -0.14



Which formula does entry 2 have?
CoSiP